(1)
TbTiSe (PBE-GGA, optimized geometry); formation energy (no corrections) = -0.7591 eV per atom; size of the total moment = 0.05 μB/atom
1.0
4.666 0.000 0.000
0.000 3.638 0.000
-2.333 -1.819 7.910
Tb Ti Se
2 2 2
direct
0.664 0.164 0.328
0.336 0.836 0.672
0.743 0.500 0.000
0.257 0.500 0.000
0.155 0.655 0.309
0.845 0.345 0.691

=====

(2)
NaSrCdGe (PBE-GGA, optimized geometry); size of the total moment = 0.00 μB/atom; formation energy from the elements = -0.209 eV/atom
1.0
5.352 0.000 0.000
2.676 4.635 0.000
2.676 1.545 4.370
Sr Ge Na Cd
1 1 1 1
direct
0.000 0.000 0.000
0.250 0.250 0.250
0.500 0.500 0.500
0.750 0.750 0.750

=====

(3)
CdInGaHg (PBE-GGA, optimized geometry); size of the total moment = 0.00 μB/atom; formation energy from the elements = 0.055 eV/atom; polymorph energy (0 for the lowest one) = 0 meV per atom
1.0
-1.040 -1.435 -2.832
1.828 -2.707 0.701
-6.532 -3.350 4.095
Cd In Ga Hg
1 1 1 1
direct
0.500 0.500 0.337
0.500 0.500 0.805
0.000 0.000 0.561
0.000 0.000 0.082

=====

(4)
Mg3Ag5 (PBE-GGA, optimized geometry); size of the total moment = 0.00 μB/atom; formation energy from the elements = -0.087 eV/atom; polymorph energy (0 for the lowest one) = 100 meV per atom
1.0
8.012 -0.004 0.000
-4.005 6.939 0.000
0.000 0.000 5.415
Mg Ag
6 10
direct
0.000 0.398 0.750
0.000 0.602 0.250
0.399 0.000 0.750
0.399 0.399 0.250
0.602 0.000 0.250
0.601 0.601 0.750
0.000 0.223 0.250
0.000 0.777 0.750
0.223 0.000 0.250
0.223 0.223 0.750
0.333 0.667 0.000
0.333 0.667 0.500
0.667 0.333 0.000
0.667 0.333 0.500
0.777 0.000 0.750
0.777 0.777 0.250

=====

What electronic total energy values result from the calculations? In sequence: -0.2240; -0.0861; -0.0621; -0.0907 hartree per atom.